The following is a PBE calculation of crystalline BaCa2Zr at its relaxed geometry, from the Alexandria database.

excess energy over the best structure of this formula in the dataset: 93 meV per atom
N(E_F): 5.00 states/eV per cell
volume: 153 Å³ per cell
symmetry: No. 71
E_form: 418 meV per atom
spin magnetization: 0.6 μB per cell

Geometry as CIF:
```
data_BaCa2Zr
_chemical_formula_sum 'Ba1 Ca2 Zr1'
_symmetry_space_group_name_H-M 'P 1'
_symmetry_Int_Tables_number 1
_cell_length_a 7.384
_cell_length_b 7.384
_cell_length_c 7.384
_cell_angle_alpha 150.06
_cell_angle_beta 130.08
_cell_angle_gamma 59.31
loop_
_symmetry_equiv_pos_as_xyz
'x,y,z'
loop_
_atom_site_label
_atom_site_fract_x
_atom_site_fract_y
_atom_site_fract_z
Ca1 0.970 0.970 0.000
Ca2 0.530 0.530 0.000
Ba1 0.250 0.750 0.500
Zr1 0.750 0.250 0.500
```